--- a ---
CaIn2Mo | PBE | optimized geometry

```
CaIn2Mo
1.0
-2.0927 2.1574 4.9128
2.0927 -2.1574 4.9128
2.0927 2.1574 -4.9128
Ca In Mo
1 2 1
direct
0.0000 0.0000 0.0000
0.2534 0.7534 0.5000
0.5049 0.5049 0.0000
0.7495 0.2495 0.5000
```

SG = No. 44
Calculated density = 6.84 g cm⁻³

---

--- b ---
CaIn2Mo | PBE | optimized geometry

```
CaIn2Mo
1.0
0.0000 3.6173 3.6173
3.6173 0.0000 3.6173
3.6173 3.6173 0.0000
Ca In Mo
1 2 1
direct
0.0000 0.0000 0.0000
0.5000 0.5000 0.5000
0.7500 0.7500 0.7500
0.2500 0.2500 0.2500
```

SG = No. 216
Calculated density = 6.41 g cm⁻³

---

--- c ---
CaIn2Mo | PBE | optimized geometry

```
CaIn2Mo
1.0
3.0856 -4.5205 0.0000
3.0856 4.5205 0.0000
0.0000 0.0000 3.0815
Ca In Mo
1 2 1
direct
0.0000 0.0000 0.0000
0.0000 0.5000 0.5000
0.5000 0.0000 0.5000
0.5000 0.5000 0.0000
```

SG = No. 65
Calculated density = 7.06 g cm⁻³

---

What should be chosen as the least stable of them? Choose b.

---

--- a ---
CaIn2Mo | PBE | optimized geometry

```
CaIn2Mo
1.0
5.3789 -1.5137 0.0000
5.3789 1.5137 0.0000
-0.3931 0.0000 5.4370
Ca In Mo
1 2 1
direct
0.0000 0.0000 0.0000
0.5073 0.5073 0.5152
0.7499 0.7499 0.2444
0.2501 0.2501 0.7437
```

SG = No. 8
Calculated density = 6.86 g cm⁻³

---

--- b ---
CaIn2Mo | PBE | optimized geometry

```
CaIn2Mo
1.0
1.9913 -2.3969 0.0000
1.9913 2.3969 0.0000
0.0000 0.0000 9.5886
Ca In Mo
1 2 1
direct
0.0000 0.0000 0.0000
0.0000 0.0000 0.4616
0.5000 0.5000 0.7189
0.5000 0.5000 0.2471
```

SG = No. 35
Calculated density = 6.63 g cm⁻³

---

--- c ---
CaIn2Mo | PBE | optimized geometry

```
CaIn2Mo
1.0
-2.2332 2.2332 4.3260
2.2332 -2.2332 4.3260
2.2332 2.2332 -4.3260
Ca In Mo
1 2 1
direct
0.0000 0.0000 0.0000
0.2500 0.7500 0.5000
0.7500 0.2500 0.5000
0.5000 0.5000 0.0000
```

SG = No. 139
Calculated density = 7.04 g cm⁻³

---

--- d ---
CaIn2Mo | PBE | optimized geometry

```
CaIn2Mo
1.0
4.9248 -1.5303 0.0000
4.9248 1.5303 0.0000
-0.7748 0.0000 6.0495
Ca In Mo
1 2 1
direct
0.0000 0.0000 0.0000
0.2408 0.2408 0.7144
0.7592 0.7592 0.2856
0.5000 0.5000 0.5000
```

SG = No. 12
Calculated density = 6.66 g cm⁻³

---

What should be chosen as the least stable of them? Choose b.

---

--- a ---
CaIn2Mo | PBE | optimized geometry

```
CaIn2Mo
1.0
4.5404 0.0000 0.0000
0.0000 4.5404 0.0000
0.0000 0.0000 4.3185
Ca In Mo
1 2 1
direct
0.0000 0.0000 0.0000
0.0000 0.5000 0.5000
0.5000 0.0000 0.5000
0.5000 0.5000 0.0000
```

SG = No. 123
Calculated density = 6.82 g cm⁻³

---

--- b ---
CaIn2Mo | PBE | optimized geometry

```
CaIn2Mo
1.0
0.0000 3.5581 3.5581
3.5581 0.0000 3.5581
3.5581 3.5581 0.0000
Ca In Mo
1 2 1
direct
0.0000 0.0000 0.0000
0.2500 0.2500 0.2500
0.7500 0.7500 0.7500
0.5000 0.5000 0.5000
```

SG = No. 225
Calculated density = 6.74 g cm⁻³

---

--- c ---
CaIn2Mo | PBE | optimized geometry

```
CaIn2Mo
1.0
3.6603 0.0000 0.0000
0.0000 3.6603 0.0000
0.0000 0.0000 7.3239
Ca In Mo
1 2 1
direct
0.0000 0.0000 0.0000
0.0000 0.0000 0.5728
0.5000 0.5000 0.3155
0.5000 0.5000 0.7185
```

SG = No. 99
Calculated density = 6.19 g cm⁻³

---

--- d ---
CaIn2Mo | PBE | optimized geometry

```
CaIn2Mo
1.0
3.3673 0.0000 0.0000
0.0000 3.8382 0.0000
0.0000 0.0000 6.8884
Ca In Mo
1 2 1
direct
0.0000 0.0000 0.0000
0.5000 0.5000 0.2877
0.5000 0.5000 0.7123
0.0000 0.0000 0.5000
```

SG = No. 47
Calculated density = 6.82 g cm⁻³

---

What should be chosen as the least stable of them? Choose c.

---

--- a ---
CaInMo | PBE | optimized geometry

```
CaInMo
1.0
0.0000 2.1187 7.2865
2.1108 0.0000 7.2865
2.1108 2.1187 0.0000
Ca In Mo
1 1 1
direct
0.0000 0.0000 0.0000
0.6831 0.6831 0.3169
0.3299 0.3299 0.6701
```

SG = No. 42
Calculated density = 6.39 g cm⁻³

---

--- b ---
CaInMo | PBE | optimized geometry

```
CaInMo
1.0
5.0541 0.0000 0.0000
-2.5271 4.3770 0.0000
0.0000 0.0000 2.9553
Ca In Mo
1 1 1
direct
0.0000 0.0000 0.0000
0.6667 0.3333 0.4417
0.3333 0.6667 0.6110
```

SG = No. 156
Calculated density = 6.37 g cm⁻³

---

What should be chosen as the least stable of them? Choose b.

---

--- a ---
Ca3InMo | PBE | optimized geometry

```
Ca3InMo
1.0
5.9131 0.0000 0.0000
0.0000 5.9131 0.0000
0.0000 0.0000 5.9131
Ca In Mo
3 1 1
direct
0.0000 0.0000 0.5000
0.0000 0.5000 0.0000
0.5000 0.0000 0.0000
0.0000 0.0000 0.0000
0.5000 0.5000 0.5000
```

SG = No. 221
Calculated density = 2.66 g cm⁻³

---

--- b ---
Ca3InMo | PBE | optimized geometry

```
Ca3InMo
1.0
5.5539 0.0000 0.0000
0.0000 5.5539 0.0000
0.0000 0.0000 5.5539
Ca In Mo
3 1 1
direct
0.0000 0.0000 0.5000
0.0000 0.5000 0.0000
0.5000 0.0000 0.0000
0.5000 0.5000 0.5000
0.0000 0.0000 0.0000
```

SG = No. 221
Calculated density = 3.21 g cm⁻³

---

What should be chosen as the least stable of them? Choose a.

---

--- a ---
Ca4In2N | PBE | optimized geometry

```
Ca4In2N
1.0
-2.4559 2.4559 8.1590
2.4559 -2.4559 8.1590
2.4559 2.4559 -8.1590
Ca In N
4 2 1
direct
0.0000 0.5000 0.5000
0.1534 0.1534 0.0000
0.5000 0.0000 0.5000
0.8466 0.8466 0.0000
0.3563 0.3563 0.0000
0.6437 0.6437 0.0000
0.0000 0.0000 0.0000
```

SG = No. 139
Calculated density = 3.41 g cm⁻³

---

--- b ---
Ca4In2N | PBE | optimized geometry

```
Ca4In2N
1.0
-2.4666 2.4666 14.5938
2.4666 -2.4666 14.5938
2.4666 2.4666 -14.5938
Ca In N
8 4 2
direct
0.0439 0.7939 0.2500
0.1242 0.3742 0.7500
0.2061 0.9561 0.2500
0.3742 0.1242 0.2500
0.6258 0.8758 0.7500
0.7939 0.0439 0.7500
0.8758 0.6258 0.2500
0.9561 0.2061 0.7500
0.2849 0.5349 0.7500
0.4651 0.7151 0.7500
0.5349 0.2849 0.2500
0.7151 0.4651 0.2500
0.1250 0.8750 0.2500
0.8750 0.1250 0.7500
```

SG = No. 141
Calculated density = 3.78 g cm⁻³

---

What should be chosen as the least stable of them? Choose a.